Compound: AlTc2Ag
Source: Alexandria via LeMat-Bulk
Functional: GGA-PBE
Structure: optimized geometry

Geometry as POSCAR:
```
AlTc2Ag
1.0
1.477 -2.316 0.000
1.477 2.316 0.000
0.000 0.000 9.089
Al Tc Ag
1 2 1
Direct
0.000 0.000 0.000 Al
0.000 0.000 0.530 Tc
0.500 0.500 0.763 Tc
0.500 0.500 0.253 Ag
```

* DFT formation energy: 0.1473 eV/atom
* total moment: 0.000 μB/f.u.
* symmetry: No. 35
* crystal system: orthorhombic